A) {
  "formula": "Cd2In5Hg",
  "functional": "PBE-GGA",
  "state": "relaxed",
  "spacegroup": "Cm, No. 8",
  "cell": [[6.735, 0.000, 0.000], [0.000, 6.759, 0.033], [-3.367, -3.386, 4.535]],
  "species": ["Cd", "Cd", "In", "In", "In", "In", "In", "Hg"],
  "frac_coords": [[0.222, 0.733, 0.445], [0.721, 0.214, 0.443], [0.736, 0.234, 0.969], [0.233, 0.234, 0.969], [0.709, 0.710, 0.920], [0.211, 0.710, 0.920], [0.722, 0.739, 0.444], [0.223, 0.202, 0.445]]
}

***

B) {
  "formula": "Cd2In5Hg",
  "functional": "PBE-GGA",
  "state": "relaxed",
  "spacegroup": "I4/mmm, No. 139",
  "cell": [[-4.493, 1.405, 0.105], [-1.135, -3.818, 2.510], [4.465, 5.897, 6.573]],
  "species": ["Cd", "Cd", "In", "In", "In", "In", "In", "Hg"],
  "frac_coords": [[0.750, 0.750, 0.501], [0.250, 0.250, 0.499], [0.500, 0.500, 0.000], [0.371, 0.871, 0.742], [0.871, 0.371, 0.742], [0.629, 0.129, 0.258], [0.129, 0.629, 0.258], [0.000, 0.000, 0.000]]
}

***

Of them, B) has the highest stability.